No. 1
Here is crystalline Hf2NbPt at its relaxed geometry from the Alexandria database. Energies are from PBE. Values from VASP.

```
&SYSTEM
  ibrav = 0, nat = 4, ntyp = 3
/
ATOMIC_SPECIES
Hf 178.49 Hf.upf
Nb 92.91 Nb.upf
Pt 195.08 Pt.upf
ATOMIC_POSITIONS angstrom
Hf 0.0000 0.0000 1.6518
Hf 0.0000 0.0000 5.0503
Nb 1.6821 1.6821 3.3510
Pt 1.6821 1.6821 0.0000
CELL_PARAMETERS angstrom
3.3643 0.0000 0.0000
0.0000 3.3643 0.0000
0.0000 0.0000 6.7021
```

Calculated total energy = -38.334 eV/f.u.
Offset from the most stable computed form = 0 meV per atom
Formation enthalpy at 0 K = -0.58 eV per atom
DOS(E_F) = 3.02 states/eV per cell
Total moment = 0.0 μB/f.u.



No. 2
Here is crystalline Hf2Nb2Pt at its relaxed geometry from the Alexandria database. Energies are from PBE. Values from VASP.

```
&SYSTEM
  ibrav = 0, nat = 5, ntyp = 3
/
ATOMIC_SPECIES
Hf 178.49 Hf.upf
Nb 92.91 Nb.upf
Pt 195.08 Pt.upf
ATOMIC_POSITIONS angstrom
Hf 0.0000 0.0000 1.4729
Hf 0.0000 0.0000 14.2612
Nb 1.8181 0.0000 3.9335
Nb 0.0000 1.8181 3.9335
Pt 0.0000 0.0000 7.8670
CELL_PARAMETERS angstrom
-1.8181 1.8181 7.8670
1.8181 -1.8181 7.8670
1.8181 1.8181 -7.8670
```

Calculated total energy = -45.128 eV/f.u.
Offset from the most stable computed form = 236 meV per atom
Formation enthalpy at 0 K = 0.19 eV per atom
DOS(E_F) = 3.44 states/eV per cell
Total moment = 0.0 μB/f.u.



No. 3
Here is crystalline Hf6NbPt at its relaxed geometry from the Alexandria database. Energies are from PBE. Values from VASP.

```
&SYSTEM
  ibrav = 0, nat = 8, ntyp = 3
/
ATOMIC_SPECIES
Hf 178.49 Hf.upf
Nb 92.91 Nb.upf
Pt 195.08 Pt.upf
ATOMIC_POSITIONS angstrom
Hf 2.3680 0.0000 1.6442
Hf 0.0000 0.0000 3.5619
Hf 2.3680 0.0000 5.6631
Hf 0.0000 2.3680 1.6442
Hf 0.0000 0.0000 11.0528
Hf 0.0000 2.3680 5.6631
Nb 0.0000 0.0000 0.0000
Pt 0.0000 0.0000 7.3073
CELL_PARAMETERS angstrom
-2.3680 2.3680 7.3073
2.3680 -2.3680 7.3073
2.3680 2.3680 -7.3073
```

Calculated total energy = -77.573 eV/f.u.
Offset from the most stable computed form = 0 meV per atom
Formation enthalpy at 0 K = -0.22 eV per atom
DOS(E_F) = 9.80 states/eV per cell
Total moment = 0.0 μB/f.u.



No. 4
Here is crystalline HfNb2Pt2 at its relaxed geometry from the Alexandria database. Energies are from PBE. Values from VASP.

```
&SYSTEM
  ibrav = 0, nat = 10, ntyp = 3
/
ATOMIC_SPECIES
Hf 178.49 Hf.upf
Nb 92.91 Nb.upf
Pt 195.08 Pt.upf
ATOMIC_POSITIONS angstrom
Hf 0.0000 0.0000 0.0000
Hf 3.5330 3.5330 0.0000
Nb 1.2112 2.3217 1.8531
Nb 2.3217 5.8547 1.8531
Nb 4.7442 1.2112 1.8531
Nb 5.8547 4.7442 1.8531
Pt 0.9306 4.4635 0.0000
Pt 2.6024 0.9306 0.0000
Pt 4.4635 6.1353 0.0000
Pt 6.1353 2.6024 0.0000
CELL_PARAMETERS angstrom
7.0659 0.0000 0.0000
0.0000 7.0659 0.0000
0.0000 0.0000 3.7062
```

Calculated total energy = -44.611 eV/f.u.
Offset from the most stable computed form = 0 meV per atom
Formation enthalpy at 0 K = -0.49 eV per atom
DOS(E_F) = 11.70 states/eV per cell
Total moment = 0.0 μB/f.u.



No. 5
Here is crystalline HfNbPt4 at its relaxed geometry from the Alexandria database. Energies are from PBE. Values from VASP.

```
&SYSTEM
  ibrav = 0, nat = 6, ntyp = 3
/
ATOMIC_SPECIES
Hf 178.49 Hf.upf
Nb 92.91 Nb.upf
Pt 195.08 Pt.upf
ATOMIC_POSITIONS angstrom
Hf 0.0000 0.0000 0.0000
Nb -1.2950 0.0000 3.2184
Pt 2.6858 0.0000 1.1339
Pt 1.4406 0.0000 4.2749
Pt 5.2536 0.0000 2.1619
Pt 4.0085 0.0000 5.3029
CELL_PARAMETERS angstrom
4.6422 -1.7066 0.0000
4.6422 1.7066 0.0000
-2.5901 0.0000 6.4368
```

Calculated total energy = -49.515 eV/f.u.
Formation enthalpy at 0 K = -0.89 eV per atom
DOS(E_F) = 1.99 states/eV per cell
Total moment = 0.0 μB/f.u.



No. 6
Here is crystalline HfNb2Pt2 at its relaxed geometry from the Alexandria database. Energies are from PBE. Values from VASP.

```
&SYSTEM
  ibrav = 0, nat = 10, ntyp = 3
/
ATOMIC_SPECIES
Hf 178.49 Hf.upf
Nb 92.91 Nb.upf
Pt 195.08 Pt.upf
ATOMIC_POSITIONS angstrom
Hf 0.0000 0.0000 0.0000
Hf 4.0119 4.0119 0.0000
Nb 0.9729 3.0390 0.0000
Nb 3.0390 7.0509 0.0000
Nb 4.9848 0.9729 0.0000
Nb 7.0509 4.9848 0.0000
Pt 1.4048 5.4167 1.4106
Pt 2.6071 1.4048 1.4106
Pt 5.4167 6.6189 1.4106
Pt 6.6189 2.6071 1.4106
CELL_PARAMETERS angstrom
8.0238 0.0000 0.0000
0.0000 8.0238 0.0000
0.0000 0.0000 2.8212
```

Calculated total energy = -43.974 eV/f.u.
Offset from the most stable computed form = 127 meV per atom
Formation enthalpy at 0 K = -0.36 eV per atom
DOS(E_F) = 11.33 states/eV per cell
Total moment = 0.0 μB/f.u.



No. 7
Here is crystalline Hf2NbPt at its relaxed geometry from the Alexandria database. Energies are from PBE. Values from VASP.

```
&SYSTEM
  ibrav = 0, nat = 4, ntyp = 3
/
ATOMIC_SPECIES
Hf 178.49 Hf.upf
Nb 92.91 Nb.upf
Pt 195.08 Pt.upf
ATOMIC_POSITIONS angstrom
Hf 1.6680 1.6680 1.6680
Hf 5.0041 5.0041 5.0041
Nb 0.0000 0.0000 0.0000
Pt 3.3361 3.3361 3.3361
CELL_PARAMETERS angstrom
0.0000 3.3361 3.3361
3.3361 0.0000 3.3361
3.3361 3.3361 0.0000
```

Calculated total energy = -38.064 eV/f.u.
Offset from the most stable computed form = 68 meV per atom
Formation enthalpy at 0 K = -0.51 eV per atom
DOS(E_F) = 5.52 states/eV per cell
Total moment = 0.0 μB/f.u.



No. 8
Here is crystalline Hf2NbPt at its relaxed geometry from the Alexandria database. Energies are from PBE. Values from VASP.

```
&SYSTEM
  ibrav = 0, nat = 4, ntyp = 3
/
ATOMIC_SPECIES
Hf 178.49 Hf.upf
Nb 92.91 Nb.upf
Pt 195.08 Pt.upf
ATOMIC_POSITIONS angstrom
Hf 0.0000 2.3294 0.0000
Hf 2.3294 0.0000 0.0000
Nb 0.0000 0.0000 1.7277
Pt 2.3294 2.3294 1.7277
CELL_PARAMETERS angstrom
4.6587 0.0000 0.0000
0.0000 4.6587 0.0000
0.0000 0.0000 3.4555
```

Calculated total energy = -38.196 eV/f.u.
Offset from the most stable computed form = 34 meV per atom
Formation enthalpy at 0 K = -0.54 eV per atom
DOS(E_F) = 4.36 states/eV per cell
Total moment = 0.0 μB/f.u.